A:
12
Lattice="5.6138 0.0000 0.0000 0.0000 4.4576 0.0000 0.0000 0.0000 8.0490" Properties=species:S:1:pos:R:3 comment="ZnAg2 | the Alexandria database | GGA-PBE | optimized geometry" dos_ef_per_ev_cell=4.51 pbc="T T T"
Zn 1.0517 1.1144 0.8020
Zn 1.7552 3.3432 4.8265
Zn 3.8586 1.1144 3.2225
Zn 4.5621 3.3432 7.2470
Ag 0.2256 1.1144 6.2415
Ag 0.9958 1.1144 3.4745
Ag 1.8111 3.3432 7.4990
Ag 2.5813 3.3432 2.2170
Ag 3.0325 1.1144 5.8320
Ag 3.8027 1.1144 0.5500
Ag 4.6180 3.3432 4.5745
Ag 5.3882 3.3432 1.8075


B:
6
Lattice="-3.1441 3.1441 2.5988 3.1441 -3.1441 2.5988 3.1441 3.1441 -2.5988" Properties=species:S:1:pos:R:3 comment="ZnAg2 | the Alexandria database | GGA-PBE | optimized geometry" dos_ef_per_ev_cell=1.96 pbc="T T T"
Zn 0.0000 0.0000 1.2994
Zn 0.0000 0.0000 3.8982
Ag 4.1355 0.9913 0.0000
Ag 0.9913 2.1528 0.0000
Ag 2.1528 0.9913 2.5988
Ag -0.9913 2.1528 2.5988


C:
24
Lattice="0.0000 5.9097 5.9097 5.9097 0.0000 5.9097 5.9097 5.9097 0.0000" Properties=species:S:1:pos:R:3 comment="ZnAg2 | the Alexandria database | GGA-PBE | optimized geometry" dos_ef_per_ev_cell=11.04 pbc="T T T"
Zn 9.2726 5.5017 5.5017
Zn 2.5468 2.5468 2.5468
Zn 6.3177 6.3177 2.5468
Zn 6.3177 2.5468 6.3177
Zn 5.5017 9.2726 5.5017
Zn 5.5017 5.5017 9.2726
Zn 9.2726 9.2726 9.2726
Zn 2.5468 6.3177 6.3177
Ag 0.0000 0.0000 0.0000
Ag 2.9548 2.9548 0.0000
Ag 2.9548 0.0000 2.9548
Ag 4.4323 4.4323 2.2429
Ag 4.4323 2.2429 4.4323
Ag 6.6217 4.4323 4.4323
Ag 7.3871 7.3871 5.1977
Ag 7.3871 5.1977 7.3871
Ag 9.5765 7.3871 7.3871
Ag 0.0000 2.9548 2.9548
Ag 2.2429 4.4323 4.4323
Ag 4.4323 6.6217 4.4323
Ag 4.4323 4.4323 6.6217
Ag 5.1977 7.3871 7.3871
Ag 7.3871 9.5765 7.3871
Ag 7.3871 7.3871 9.5765


Short version: C is the least stable of them.


A:
3
Lattice="-1.5140 1.7388 4.7659 1.5140 -1.7388 4.7659 1.5140 1.7388 -4.7659" Properties=species:S:1:pos:R:3 comment="ZnAg2 | the Alexandria database | GGA-PBE | optimized geometry" dos_ef_per_ev_cell=0.77 pbc="T T T"
Zn 0.0000 0.0000 0.0000
Ag 0.0000 0.0000 3.2630
Ag 0.0000 0.0000 6.2687


B:
12
Lattice="6.2142 0.0000 0.0000 0.0000 6.2142 0.0000 0.0000 0.0000 6.2142" Properties=species:S:1:pos:R:3 comment="ZnAg2 | the Alexandria database | GGA-PBE | optimized geometry" dos_ef_per_ev_cell=2.63 pbc="T T T"
Zn 0.0000 0.0000 0.0000
Zn 0.0000 3.1071 3.1071
Zn 3.1071 0.0000 3.1071
Zn 3.1071 3.1071 0.0000
Ag 0.8292 3.9363 5.3850
Ag 0.8292 5.3850 2.2779
Ag 2.2779 0.8292 5.3850
Ag 2.2779 2.2779 2.2779
Ag 3.9363 3.9363 3.9363
Ag 3.9363 5.3850 0.8292
Ag 5.3850 0.8292 3.9363
Ag 5.3850 2.2779 0.8292


C:
6
Lattice="-1.4241 1.4241 12.8621 1.4241 -1.4241 12.8621 1.4241 1.4241 -12.8621" Properties=species:S:1:pos:R:3 comment="ZnAg2 | the Alexandria database | GGA-PBE | optimized geometry" dos_ef_per_ev_cell=1.78 pbc="T T T"
Zn 1.4241 0.7121 3.2155
Zn 0.0000 0.7121 9.6466
Ag 1.4241 -0.7121 7.6858
Ag 1.4241 -0.7121 11.6073
Ag 0.0000 2.1362 1.2548
Ag 0.0000 2.1362 5.1763


D:
12
Lattice="-2.0089 2.0089 12.5059 2.0089 -2.0089 12.5059 2.0089 2.0089 -12.5059" Properties=species:S:1:pos:R:3 comment="ZnAg2 | the Alexandria database | GGA-PBE | optimized geometry" dos_ef_per_ev_cell=5.20 pbc="T T T"
Zn 2.0089 1.0044 1.0644
Zn 2.0089 1.0044 5.1885
Zn 0.0000 1.0044 7.3174
Zn 0.0000 1.0044 11.4415
Ag 2.0089 -1.0044 7.2602
Ag 2.0089 1.0044 -3.1323
Ag 2.0089 -1.0044 11.4986
Ag 0.0000 1.0044 3.1206
Ag 2.0089 1.0044 9.3852
Ag 0.0000 3.0133 1.0073
Ag 0.0000 1.0044 15.6382
Ag 0.0000 3.0133 5.2456


Short version: B is the least stable of them.


A:
6
Lattice="4.7230 -2.3246 0.0000 4.7230 2.3246 0.0000 0.0000 0.0000 4.5784" Properties=species:S:1:pos:R:3 comment="ZnAg2 | the Alexandria database | GGA-PBE | optimized geometry" dos_ef_per_ev_cell=2.00 pbc="T T T"
Zn 4.7230 1.3431 3.4338
Zn 4.7230 -1.3431 1.1446
Ag 3.2358 1.0045 1.1446
Ag 6.2102 1.0045 1.1446
Ag 3.2358 -1.0045 3.4338
Ag 6.2102 -1.0045 3.4338


B:
3
Lattice="4.3697 0.0000 0.0000 0.0000 4.3697 0.0000 0.0000 0.0000 3.0607" Properties=species:S:1:pos:R:3 comment="ZnAg2 | the Alexandria database | GGA-PBE | optimized geometry" dos_ef_per_ev_cell=0.79 pbc="T T T"
Zn 0.0000 0.0000 0.0000
Ag 0.0000 2.1848 1.5304
Ag 2.1848 0.0000 1.5304


Short version: B is the least stable of them.


A:
6
Lattice="4.8870 -1.4950 0.0000 4.8870 1.4950 0.0000 -2.9778 0.0000 6.8907" Properties=species:S:1:pos:R:3 comment="ZnAg2 | the Alexandria database | GGA-PBE | optimized geometry" dos_ef_per_ev_cell=1.48 pbc="T T T"
Zn 1.5419 0.0000 0.6416
Zn 5.2543 0.0000 6.2491
Ag -0.1575 0.0000 4.0187
Ag 2.5327 0.0000 5.3817
Ag 4.2635 0.0000 1.5090
Ag 6.9537 0.0000 2.8720


B:
6
Lattice="5.1747 -1.5226 0.0000 5.1747 1.5226 0.0000 -1.7676 0.0000 6.4225" Properties=species:S:1:pos:R:3 comment="ZnAg2 | the Alexandria database | GGA-PBE | optimized geometry" dos_ef_per_ev_cell=1.89 pbc="T T T"
Zn 0.0000 0.0000 0.0000
Zn 6.3674 0.0000 2.1274
Ag 2.8378 0.0000 0.5173
Ag 2.2671 0.0000 4.2370
Ag 5.0647 0.0000 4.8140
Ag 9.3056 0.0000 2.5625


Short version: B is the least stable of them.


A:
6
Lattice="2.9334 0.0000 0.0000 0.0000 7.9744 0.0000 0.0000 0.0000 4.3498" Properties=species:S:1:pos:R:3 comment="ZnAg2 | the Alexandria database | GGA-PBE | optimized geometry" dos_ef_per_ev_cell=1.62 pbc="T T T"
Zn 0.0000 0.0000 0.0000
Zn 1.4667 3.9872 2.1749
Ag 0.5500 2.6672 0.0000
Ag 0.9167 6.6544 2.1749
Ag 2.0167 1.3200 2.1749
Ag 2.3834 5.3072 0.0000


B:
3
Lattice="-1.4701 1.4701 5.8120 1.4701 -1.4701 5.8120 1.4701 1.4701 -5.8120" Properties=species:S:1:pos:R:3 comment="ZnAg2 | the Alexandria database | GGA-PBE | optimized geometry" dos_ef_per_ev_cell=0.92 pbc="T T T"
Zn 0.0000 0.0000 0.0000
Ag 0.0000 0.0000 3.9593
Ag 0.0000 0.0000 7.6647


Short version: A is the least stable of them.


A:
6
Lattice="4.5455 0.0000 0.0000 -2.2728 3.9365 0.0000 0.0000 0.0000 5.6657" Properties=species:S:1:pos:R:3 comment="ZnAg2 | the Alexandria database | GGA-PBE | optimized geometry" dos_ef_per_ev_cell=2.37 pbc="T T T"
Zn 0.0000 2.6244 1.4164
Zn 2.2728 1.3122 4.2493
Ag 0.0000 0.0000 0.0000
Ag 0.0000 0.0000 2.8328
Ag 0.0000 2.6244 4.2493
Ag 2.2728 1.3122 1.4164


B:
3
Lattice="0.0000 3.0783 3.0783 3.0783 0.0000 3.0783 3.0783 3.0783 0.0000" Properties=species:S:1:pos:R:3 comment="ZnAg2 | the Alexandria database | GGA-PBE | optimized geometry" dos_ef_per_ev_cell=1.18 pbc="T T T"
Zn 0.0000 0.0000 0.0000
Ag 1.5391 1.5391 1.5391
Ag 4.6174 4.6174 4.6174


Short version: B is the least stable of them.


A:
5
Lattice="4.4096 0.0000 0.0000 -2.2048 3.8188 0.0000 0.0000 0.0000 5.3518" Properties=species:S:1:pos:R:3 comment="Zn3Ag2 | the Alexandria database | GGA-PBE | optimized geometry" dos_ef_per_ev_cell=1.72 pbc="T T T"
Zn 0.0000 0.0000 0.0000
Zn 0.0000 2.5459 1.9469
Zn 2.2048 1.2729 3.4050
Ag 0.0000 2.5459 4.5574
Ag 2.2048 1.2729 0.7944


B:
5
Lattice="4.7183 -1.4315 0.0000 4.7183 1.4315 0.0000 -3.6984 0.0000 5.9103" Properties=species:S:1:pos:R:3 comment="Zn3Ag2 | the Alexandria database | GGA-PBE | optimized geometry" dos_ef_per_ev_cell=1.14 pbc="T T T"
Zn 0.0000 0.0000 0.0000
Zn 1.5024 0.0000 3.5814
Zn 4.2357 0.0000 2.3289
Ag -1.0893 0.0000 4.6536
Ag 6.8274 0.0000 1.2567


Short version: A is the least stable of them.


A:
5
Lattice="2.5592 1.4776 3.7282 -2.5592 1.4776 3.7282 0.0000 -2.9551 3.7282" Properties=species:S:1:pos:R:3 comment="Zn3Ag2 | the Alexandria database | GGA-PBE | optimized geometry" dos_ef_per_ev_cell=1.32 pbc="T T T"
Zn -1.2796 -0.7388 3.7282
Zn -1.2796 0.7388 7.4564
Zn 0.0000 1.4776 3.7282
Ag 0.0000 0.0000 1.4042
Ag 0.0000 0.0000 9.7804


B:
10
Lattice="6.9761 0.0000 0.0000 0.0000 2.8267 0.0000 -2.2828 0.0000 8.2035" Properties=species:S:1:pos:R:3 comment="Zn3Ag2 | the Alexandria database | GGA-PBE | optimized geometry" dos_ef_per_ev_cell=2.36 pbc="T T T"
Zn -0.5223 0.7067 2.0051
Zn 0.6308 0.7067 6.7987
Zn 2.0920 0.7067 2.8195
Zn 2.6014 2.1200 5.3840
Zn 4.0625 2.1200 1.4048
Zn 5.2156 2.1200 6.1984
Ag 0.1504 2.1200 4.2965
Ag 1.3655 2.1200 0.4959
Ag 3.3278 0.7067 7.7076
Ag 4.5429 0.7067 3.9070


Short version: A is the least stable of them.


A:
10
Lattice="0.0000 6.6646 2.5477 4.6944 0.0000 2.5477 4.6944 6.6646 0.0000" Properties=species:S:1:pos:R:3 comment="Zn3Ag2 | the Alexandria database | GGA-PBE | optimized geometry" dos_ef_per_ev_cell=1.99 pbc="T T T"
Zn 0.0000 0.0000 0.0000
Zn 2.3472 3.3323 1.2739
Zn 4.2815 5.3319 2.2979
Zn 5.1073 7.9974 2.2979
Zn 7.4544 8.6642 3.5717
Zn 6.6286 11.3298 3.5717
Ag 4.9974 2.6385 2.1447
Ag 6.7385 5.9708 3.4186
Ag 4.3913 10.6908 2.1447
Ag 2.6502 7.3585 3.4186


B:
10
Lattice="2.5605 -4.0037 0.0000 2.5605 4.0037 0.0000 0.0000 0.0000 8.2130" Properties=species:S:1:pos:R:3 comment="Zn3Ag2 | the Alexandria database | GGA-PBE | optimized geometry" dos_ef_per_ev_cell=2.25 pbc="T T T"
Zn 0.0000 0.0000 0.0000
Zn 1.2802 0.8269 2.0532
Zn 1.2802 -0.8269 6.1597
Zn 2.5605 0.0000 4.1065
Zn 3.8407 0.8269 2.0532
Zn 3.8407 -0.8269 6.1597
Ag 2.5605 2.7057 3.5839
Ag 2.5605 1.2980 7.6904
Ag 2.5605 -1.2980 0.5226
Ag 2.5605 -2.7057 4.6291


C:
5
Lattice="-1.4899 1.6685 8.0689 1.4899 -1.6685 8.0689 1.4899 1.6685 -8.0689" Properties=species:S:1:pos:R:3 comment="Zn3Ag2 | the Alexandria database | GGA-PBE | optimized geometry" dos_ef_per_ev_cell=1.40 pbc="T T T"
Zn 0.0000 0.0000 0.0000
Zn 0.0000 0.0000 6.5617
Zn 0.0000 0.0000 9.5760
Ag 0.0000 0.0000 3.0919
Ag 0.0000 0.0000 13.0458


Short version: B is the least stable of them.


A:
5
Lattice="1.4281 0.8245 11.4695 -1.4281 0.8245 11.4695 0.0000 -1.6491 11.4695" Properties=species:S:1:pos:R:3 comment="Zn3Ag2 | the Alexandria database | GGA-PBE | optimized geometry" dos_ef_per_ev_cell=1.41 pbc="T T T"
Zn 0.0000 0.0000 0.0000
Zn 0.0000 0.0000 6.8747
Zn 0.0000 0.0000 27.5336
Ag 0.0000 0.0000 13.7723
Ag 0.0000 0.0000 20.6361


B:
5
Lattice="-1.4688 1.4688 9.2210 1.4688 -1.4688 9.2210 1.4688 1.4688 -9.2210" Properties=species:S:1:pos:R:3 comment="Zn3Ag2 | the Alexandria database | GGA-PBE | optimized geometry" dos_ef_per_ev_cell=1.38 pbc="T T T"
Zn 0.0000 0.0000 0.0000
Zn 0.0000 0.0000 3.7669
Zn 0.0000 0.0000 14.6750
Ag 0.0000 0.0000 7.3422
Ag 0.0000 0.0000 11.0997


Short version: A is the least stable of them.